Material: La2ZnPt
Method: DFT, PBE
State: relaxed

The formation enthalpy at 0 K comes out at -39.3 kJ/mol of atoms. The crystal system is tetragonal.

The space group is I-42d (No. 122) and the conventional cell measures 8.048, 8.048 and 7.168 Å, with angles of 90.00, 90.00 and 90.00 degrees. The inequivalent atoms are La at (0.220, 0.750, 0.125), Zn at (0.000, 0.000, 0.500) and Pt at (0.000, 0.000, 0.000).

Material: Si2AgOs
Method: DFT, PBE
State: relaxed

The polymorph energy (0 for the lowest one) is 322 meV per atom. The raw formation energy is 0.3538 eV per atom. The crystal system is cubic.

The space group is Fm-3m (No. 225) and the conventional cell measures 6.152, 6.152 and 6.152 Å, with angles of 90.00, 90.00 and 90.00 degrees. The inequivalent atoms are Si at (0.250, 0.250, 0.250), Ag at (0.000, 0.000, 0.000) and Os at (0.000, 0.000, 0.500).

Material: TaSnPdBr2
Method: DFT, PBE
State: relaxed

The raw formation energy is 0.7525 eV per atom. The crystal system is tetragonal.

The space group is P4/mmm (No. 123) and the conventional cell measures 5.005, 5.005 and 5.251 Å, with angles of 90.00, 90.00 and 90.00 degrees. The inequivalent atoms are Ta at (0.000, 0.000, 0.000), Sn at (0.500, 0.500, 0.000), Pd at (0.000, 0.000, 0.500) and Br at (0.000, 0.500, 0.500).

Material: AgSe2O
Method: DFT, PBE
State: relaxed

The raw formation energy is 0.2985 eV per atom. The crystal system is trigonal.

The space group is R-3m (No. 166, hexagonal axes) and the conventional cell measures 3.0470, 3.0470 and 26.2757 Å, with angles of 90.00, 90.00 and 120.00 degrees. The inequivalent atoms are Ag at (0.0000, 0.0000, 0.0000), Se at (0.0000, 0.0000, 0.4286) and O at (0.0000, 0.0000, 0.5000).

| no. | spin magnetization (μB per formula unit) | final energy (eV/cell) |
| --- | --- | --- |
| 1 | 0.000 | -75.197 |
| 2 | 0.000 | -94.047 |
| 3 | 0.000 | -20.631 |
| 4 | 0.000 | -40.753 |